La2Sm5Y (PBE, optimized geometry); space group = Cmcm (63); DFT total energy = -4.86 eV/atom
1.0
2.8644 -6.0150 0.0000
2.8644 6.0150 0.0000
0.0000 0.0000 16.3604
La Sm Y
4 10 2
direct
0.2194 0.7806 0.6290
0.2194 0.7806 0.8710
0.7806 0.2194 0.1290
0.7806 0.2194 0.3710
0.0783 0.9217 0.0903
0.0783 0.9217 0.4097
0.3833 0.6167 0.0510
0.3833 0.6167 0.4490
0.4620 0.5380 0.7500
0.5380 0.4620 0.2500
0.6167 0.3833 0.5510
0.6167 0.3833 0.9490
0.9217 0.0783 0.5903
0.9217 0.0783 0.9097
0.2588 0.7412 0.2500
0.7412 0.2588 0.7500

LaSm7Y3 (PBE, optimized geometry); polymorph energy (0 for the lowest one) = 23 meV per atom; space group = C2/m (12); DFT total energy = -5.00 eV/atom
1.0
5.9016 -5.0626 0.0000
5.9016 5.0626 0.0000
-0.6278 0.0000 6.4389
La Sm Y
1 7 3
direct
0.0000 0.0000 0.0000
0.0000 0.0000 0.5000
0.0756 0.4243 0.7592
0.2634 0.2634 0.2905
0.4243 0.0756 0.7592
0.5757 0.9244 0.2408
0.7366 0.7366 0.7095
0.9244 0.5757 0.2408
0.3295 0.6705 0.5000
0.5000 0.5000 0.0000
0.6705 0.3295 0.5000

La7SmY12 (PBE, optimized geometry); polymorph energy (0 for the lowest one) = 376 meV per atom; space group = Im-3m (229); DFT total energy = -5.24 eV/atom
1.0
-5.6963 5.6963 5.6963
5.6963 -5.6963 5.6963
5.6963 5.6963 -5.6963
La Sm Y
7 1 12
direct
0.0000 0.0000 0.5000
0.0000 0.5000 0.0000
0.0000 0.5000 0.5000
0.5000 0.0000 0.0000
0.5000 0.0000 0.5000
0.5000 0.5000 0.0000
0.5000 0.5000 0.5000
0.0000 0.0000 0.0000
0.0000 0.2479 0.7521
0.0000 0.7521 0.2479
0.2479 0.0000 0.7521
0.2479 0.2479 0.4958
0.2479 0.4958 0.2479
0.2479 0.7521 0.0000
0.4958 0.2479 0.2479
0.5042 0.7521 0.7521
0.7521 0.0000 0.2479
0.7521 0.2479 0.0000
0.7521 0.5042 0.7521
0.7521 0.7521 0.5042

La6Sm7Y16 (PBE, optimized geometry); space group = Fm-3m (225); DFT total energy = -5.53 eV/atom
1.0
0.0000 7.9576 7.9576
7.9576 0.0000 7.9576
7.9576 7.9576 0.0000
La Sm Y
6 7 16
direct
0.2230 0.2230 0.7770
0.2230 0.7770 0.2230
0.2230 0.7770 0.7770
0.7770 0.2230 0.2230
0.7770 0.2230 0.7770
0.7770 0.7770 0.2230
0.0000 0.0000 0.0000
0.0000 0.0000 0.5000
0.0000 0.5000 0.0000
0.0000 0.5000 0.5000
0.5000 0.0000 0.0000
0.5000 0.0000 0.5000
0.5000 0.5000 0.0000
0.1499 0.1499 0.1499
0.1499 0.1499 0.5503
0.1499 0.5503 0.1499
0.1520 0.6160 0.6160
0.3840 0.3840 0.3840
0.3840 0.3840 0.8480
0.3840 0.8480 0.3840
0.4497 0.8501 0.8501
0.5503 0.1499 0.1499
0.6160 0.1520 0.6160
0.6160 0.6160 0.1520
0.6160 0.6160 0.6160
0.8480 0.3840 0.3840
0.8501 0.4497 0.8501
0.8501 0.8501 0.4497
0.8501 0.8501 0.8501

Number 1: density 6.59 g/cm³, total magnetic moment 0.000 μB/atom. Number 2: density 6.29 g/cm³, total magnetic moment 0.000 μB/atom. Number 3: density 4.92 g/cm³, total magnetic moment 0.000 μB/atom. Number 4: density 5.45 g/cm³, total magnetic moment 0.000 μB/atom.